8
Lattice="4.220 -2.437 0.000 4.220 2.437 0.000 -2.832 0.000 7.931" Properties=species:S:1:pos:R:3 comment="TmPaAu6 PBE-GGA optimized geometry" n_ef_per_ev_atom=0.63 sg=C2/m total_magnetization_mub_per_cell=0.00 delta_e_f_mev_per_atom=-532 dft_energy_ev_per_atom=-4.736 pbc="T T T"
Tm 0.000 0.000 0.000
Pa 2.805 0.000 3.966
Au -0.011 0.000 2.923
Au -0.010 0.000 5.917
Au 2.811 0.000 0.942
Au 2.798 0.000 6.990
Au 5.619 0.000 2.014
Au 5.621 0.000 5.008

=====

3
Lattice="4.975 0.000 0.000 -2.488 4.308 0.000 0.000 0.000 2.867" Properties=species:S:1:pos:R:3 comment="UPaAu PBE-GGA optimized geometry" n_ef_per_ev_atom=1.79 sg=P-6m2 total_magnetization_mub_per_cell=0.91 delta_e_f_mev_per_atom=23 polymorph_energy_ev_per_atom=0.112 dft_energy_ev_per_atom=-7.998 pbc="T T T"
U 0.000 0.000 0.000
Pa 0.000 2.872 0.000
Au 2.488 1.436 1.434

=====

4
Lattice="1.542 0.890 10.471 -1.542 0.890 10.471 0.000 -1.781 10.471" Properties=species:S:1:pos:R:3 comment="UPaAu2 PBE-GGA optimized geometry" n_ef_per_ev_atom=2.02 sg=R-3m total_magnetization_mub_per_cell=2.13 delta_e_f_mev_per_atom=-45 polymorph_energy_ev_per_atom=0.079 dft_energy_ev_per_atom=-6.880 pbc="T T T"
U 0.000 0.000 0.000
Pa 0.000 0.000 15.707
Au 0.000 0.000 7.859
Au 0.000 0.000 23.556

=====

6
Lattice="3.583 0.000 0.000 0.000 3.583 0.000 0.000 0.000 9.858" Properties=species:S:1:pos:R:3 comment="UPaAu PBE-GGA optimized geometry" n_ef_per_ev_atom=1.90 sg=P4/nmm total_magnetization_mub_per_cell=0.01 delta_e_f_mev_per_atom=-89 polymorph_energy_ev_per_atom=0.000 dft_energy_ev_per_atom=-8.109 pbc="T T T"
U 0.896 0.896 0.884
U 2.688 2.688 8.974
Pa 0.896 0.896 7.500
Pa 2.688 2.688 2.358
Au 0.896 0.896 4.164
Au 2.688 2.688 5.694

=====

4
Lattice="3.896 0.000 0.000 0.000 3.896 0.000 0.000 0.000 6.073" Properties=species:S:1:pos:R:3 comment="UPaAu2 PBE-GGA optimized geometry" n_ef_per_ev_atom=2.05 sg=P4/mmm total_magnetization_mub_per_cell=4.54 delta_e_f_mev_per_atom=-78 polymorph_energy_ev_per_atom=0.046 dft_energy_ev_per_atom=-6.913 pbc="T T T"
U 0.000 0.000 0.000
Pa 0.000 0.000 3.036
Au 1.948 1.948 1.510
Au 1.948 1.948 4.562

=====

3
Lattice="-1.830 1.830 4.953 1.830 -1.830 4.953 1.830 1.830 -4.953" Properties=species:S:1:pos:R:3 comment="UPaAu PBE-GGA optimized geometry" n_ef_per_ev_atom=2.25 sg=I4mm total_magnetization_mub_per_cell=2.41 delta_e_f_mev_per_atom=34 polymorph_energy_ev_per_atom=0.123 dft_energy_ev_per_atom=-7.987 pbc="T T T"
U 0.000 0.000 0.000
Pa 0.000 0.000 3.675
Au 0.000 0.000 6.795

=====

> Which formula does entry 6 have?

UPaAu